## Li2MgTl2 (GGA-PBE)

Data for Li2MgTl2 after structural relaxation.

abc: 7.7189 7.7189 7.7189
angles: 150.57 150.57 42.10
With the nearest neighbours (Å) after each atom.
Atoms (fractional coordinates):
Li 0.2500 0.7500 0.5000  4 Li 2.77, 4 Tl 2.84
Li 0.7500 0.2500 0.5000  4 Li 2.77, 4 Tl 2.84
Mg 0.0000 0.0000 0.0000  8 Tl 3.17
Tl 0.3927 0.3927 0.0000  4 Li 2.84, 1 Tl 3.09, 4 Mg 3.17
Tl 0.6073 0.6073 0.0000  4 Li 2.84, 1 Tl 3.09, 4 Mg 3.17

Values from the calculation:
For the raw total energy, the calculation gives -10.6 eV/cell. As for the space group: No. 139.